DFT (GGA-PBE) results for a relaxed Dy5Cu2Hg2 crystal.

abc: 7.2878 7.2795 9.2478
angles: 113.18 90.00 90.00
With the nearest neighbours (Å) after each atom.
Positions (direct):
Dy  0.0000  0.0000  0.0000  4 Cu 2.89
Dy  0.5000  0.5000  0.0000  4 Cu 2.89
Dy  0.8257  0.8090  0.2598  3 Cu 3.03-3.13, 3 Hg 3.09-3.13
Dy  0.1743  0.4508  0.2598  3 Cu 3.03-3.13, 3 Hg 3.09-3.13
Dy  0.3257  0.9508  0.2598  3 Cu 3.03-3.13, 3 Hg 3.09-3.13
Dy  0.6743  0.3090  0.2598  3 Cu 3.03-3.13, 3 Hg 3.09-3.13
Dy  0.1743  0.1910  0.7402  3 Cu 3.03-3.13, 3 Hg 3.09-3.13
Dy  0.8257  0.5492  0.7402  3 Cu 3.03-3.13, 3 Hg 3.09-3.13
Dy  0.6743  0.0492  0.7402  3 Cu 3.03-3.13, 3 Hg 3.09-3.13
Dy  0.3257  0.6910  0.7402  3 Cu 3.03-3.13, 3 Hg 3.09-3.13
Cu  0.6221  0.8784  0.0000  1 Cu 2.51
Cu  0.3779  0.1216  0.0000  1 Cu 2.51
Cu  0.1221  0.6216  0.0000  1 Cu 2.51
Cu  0.8779  0.3784  0.0000  1 Cu 2.51
Hg  0.0000  0.2224  0.4448  6 Dy 3.09-3.13
Hg  0.5000  0.7224  0.4448  6 Dy 3.09-3.13
Hg  0.0000  0.7776  0.5552  6 Dy 3.09-3.13
Hg  0.5000  0.2776  0.5552  6 Dy 3.09-3.13

Values from the calculation:
E_form ... -0.281 eV/atom
Uncorrected energy ... -3.815 eV per atom
Calculated volume ... 451 Å³ per cell
Space-group type ... No. 64


DFT (GGA-PBE) results for a relaxed Dy3Cu2Hg4 crystal.

abc: 4.7460 5.9454 8.2269
angles: 74.72 73.23 66.48
With the nearest neighbours (Å) after each atom.
Positions (direct):
Dy  0.3308  0.6813  0.6571  4 Cu 3.09-3.30, 8 Hg 3.16-3.36, 2 Dy 3.42-3.45
Dy  0.0000  0.0000  0.0000  8 Hg 3.10-3.44, 4 Cu 3.19, 2 Dy 3.45
Dy  0.6692  0.3187  0.3429  4 Cu 3.09-3.30, 8 Hg 3.16-3.36, 2 Dy 3.42-3.45
Cu  0.4000  0.9260  0.2740  3 Hg 2.66-2.67
Cu  0.6000  0.0740  0.7260  3 Hg 2.66-2.67
Hg  0.2903  0.3593  0.0601  1 Cu 2.66, 2 Hg 2.90
Hg  0.7097  0.6407  0.9399  1 Cu 2.66, 2 Hg 2.90
Hg  0.0565  0.2673  0.6196  2 Cu 2.67, 1 Hg 2.89
Hg  0.9435  0.7327  0.3804  2 Cu 2.67, 1 Hg 2.89

Values from the calculation:
E_form ... -0.339 eV/atom
Uncorrected energy ... -2.917 eV per atom
Calculated volume ... 201 Å³ per cell
Space-group type ... No. 12


DFT (GGA-PBE) results for a relaxed Dy6CuHg crystal.

abc: 5.0400 5.0400 9.4327
angles: 74.50 74.48 90.00
With the nearest neighbours (Å) after each atom.
Positions (direct):
Dy  0.7496  0.7495  0.5008  12 Dy 3.55-3.56
Dy  0.6064  0.1064  0.7873  2 Cu 3.13, 2 Hg 3.13
Dy  0.1064  0.6063  0.7873  2 Hg 3.13, 2 Cu 3.13
Dy  0.3936  0.8936  0.2127  2 Cu 3.13, 2 Hg 3.13
Dy  0.2504  0.2505  0.4992  12 Dy 3.55-3.56
Dy  0.8936  0.3937  0.2127  2 Hg 3.13, 2 Cu 3.13
Cu  0.0000  0.0000  0.0000  8 Dy 3.13
Hg  0.5000  0.5000  0.0000  8 Dy 3.13

Values from the calculation:
E_form ... -0.144 eV/atom
Uncorrected energy ... -4.145 eV per atom
Calculated volume ... 222 Å³ per cell
Space-group type ... No. 139


DFT (GGA-PBE) results for a relaxed Dy3CuHg3 crystal.

abc: 4.7447 3.6953 10.2307
angles: 100.40 103.41 90.00
With the nearest neighbours (Å) after each atom.
Positions (direct):
Dy  0.3136  0.8136  0.6272  2 Cu 2.92, 5 Hg 3.13-3.16
Dy  0.6948  0.1948  0.3897  7 Hg 3.12-3.21
Dy  0.9924  0.9924  0.9847  6 Hg 3.22-3.29, 4 Cu 3.25
Cu  0.4292  0.4292  0.8583  3 Hg 2.57-2.76
Hg  0.1519  0.6519  0.3037  2 Hg 2.97, 5 Dy 3.12-3.16
Hg  0.8573  0.3573  0.7147  2 Cu 2.76
Hg  0.5608  0.5608  0.1217  1 Cu 2.57

Values from the calculation:
E_form ... -0.364 eV/atom
Uncorrected energy ... -3.051 eV per atom
Calculated volume ... 171 Å³ per cell
Space-group type ... No. 44


DFT (GGA-PBE) results for a relaxed DyCuHg2 crystal.

abc: 4.9218 4.9218 4.9218
angles: 60.00 60.00 60.00
With the nearest neighbours (Å) after each atom.
Positions (direct):
Hg  0.2500  0.2500  0.2500  4 Dy 3.01, 4 Cu 3.01
Hg  0.7500  0.7500  0.7500  4 Dy 3.01, 4 Cu 3.01
Cu  0.5000  0.5000  0.5000  8 Hg 3.01
Dy  0.0000  0.0000  0.0000  8 Hg 3.01

Values from the calculation:
E_form ... -0.229 eV/atom
Uncorrected energy ... -2.554 eV per atom
Calculated volume ... 84 Å³ per cell
Space-group type ... No. 225


DFT (GGA-PBE) results for a relaxed Dy3Cu2Hg crystal.

abc: 3.5279 3.5279 10.8509
angles: 90.00 90.00 90.00
With the nearest neighbours (Å) after each atom.
Positions (direct):
Dy  0.0000  0.0000  0.0000  8 Cu 3.03
Dy  0.0000  0.0000  0.6864  4 Cu 3.01, 4 Hg 3.21
Dy  0.0000  0.0000  0.3136  4 Cu 3.01, 4 Hg 3.21
Cu  0.5000  0.5000  0.8416  8 Dy 3.01-3.03
Cu  0.5000  0.5000  0.1584  8 Dy 3.01-3.03
Hg  0.5000  0.5000  0.5000  8 Dy 3.21, 4 Hg 3.53

Values from the calculation:
E_form ... -0.316 eV/atom
Uncorrected energy ... -4.032 eV per atom
Calculated volume ... 135 Å³ per cell
Space-group type ... No. 123


DFT (GGA-PBE) results for a relaxed Dy4Cu2Hg crystal.

abc: 5.0023 5.0023 8.4992
angles: 72.89 72.89 60.00
With the nearest neighbours (Å) after each atom.
Positions (direct):
Hg  0.0000  0.0000  0.0000  8 Dy 3.12-3.13, 6 Cu 3.49
Cu  0.7487  0.7487  0.7540  8 Dy 2.90-3.15
Cu  0.2513  0.2513  0.2460  8 Dy 2.90-3.15
Dy  0.8695  0.8695  0.3914  4 Cu 2.90-3.11, 1 Hg 3.13
Dy  0.1305  0.1305  0.6086  4 Cu 2.90-3.11, 1 Hg 3.13
Dy  0.6172  0.6172  0.1483  4 Cu 2.99-3.15, 3 Hg 3.12
Dy  0.3828  0.3828  0.8517  4 Cu 2.99-3.15, 3 Hg 3.12

Values from the calculation:
E_form ... -0.171 eV/atom
Uncorrected energy ... -4.014 eV per atom
E above lowest polymorph ... 29 meV per atom
Calculated volume ... 173 Å³ per cell
Space-group type ... No. 166


DFT (GGA-PBE) results for a relaxed Dy6CuHg3 crystal.

abc: 5.1979 9.2076 11.5475
angles: 109.70 90.00 90.00
With the nearest neighbours (Å) after each atom.
Positions (direct):
Dy  0.2500  0.4755  0.0947  5 Hg 3.03-3.37
Dy  0.7500  0.5245  0.9053  5 Hg 3.03-3.37
Dy  0.2500  0.1188  0.1488  3 Hg 3.14-3.29, 5 Dy 3.35-3.45
Dy  0.7500  0.8812  0.8512  3 Hg 3.14-3.29, 5 Dy 3.35-3.45
Dy  0.2500  0.6704  0.6775  1 Cu 2.85, 3 Hg 3.09-3.15
Dy  0.7500  0.3296  0.3225  1 Cu 2.85, 3 Hg 3.09-3.15
Dy  0.2500  0.2466  0.4932  4 Hg 3.10-3.37, 2 Cu 3.12, 1 Dy 3.35
Dy  0.7500  0.7534  0.5068  4 Hg 3.10-3.37, 2 Cu 3.12, 1 Dy 3.35
Dy  0.2500  0.8654  0.3436  3 Cu 2.91-3.09
Dy  0.7500  0.1346  0.6564  3 Cu 2.91-3.09
Dy  0.2500  0.1181  0.8584  1 Cu 2.79, 1 Hg 2.97
Dy  0.7500  0.8819  0.1416  1 Cu 2.79, 1 Hg 2.97
Cu  0.2500  0.9409  0.6094  5 Dy 2.79-3.09
Cu  0.7500  0.0591  0.3906  5 Dy 2.79-3.09
Hg  0.2500  0.5230  0.3768  8 Dy 3.09-3.37, 2 Hg 3.39
Hg  0.7500  0.4770  0.6232  8 Dy 3.09-3.37, 2 Hg 3.39
Hg  0.2500  0.3922  0.7776  5 Dy 2.97-3.15
Hg  0.7500  0.6078  0.2224  5 Dy 2.97-3.15
Hg  0.2500  0.7724  0.9755  9 Dy 3.14-3.45, 1 Hg 3.48
Hg  0.7500  0.2276  0.0245  9 Dy 3.14-3.45, 1 Hg 3.48

Values from the calculation:
E_form ... -0.292 eV/atom
Uncorrected energy ... -3.554 eV per atom
Calculated volume ... 520 Å³ per cell
Space-group type ... No. 11


DFT (GGA-PBE) results for a relaxed DyCu9Hg2 crystal.

abc: 5.1003 5.1003 8.5136
angles: 72.57 72.57 60.00
With the nearest neighbours (Å) after each atom.
Positions (direct):
Dy  0.0000  0.0000  0.0000  18 Cu 2.94-3.24
Cu  0.6666  0.6666  0.0003  6 Cu 2.48-2.49
Cu  0.3334  0.3334  0.9997  6 Cu 2.48-2.49
Cu  0.5000  0.5000  0.5000  6 Cu 2.49
Cu  0.4154  0.4154  0.2503  7 Cu 2.48-2.57
Cu  0.9190  0.4154  0.2503  7 Cu 2.48-2.57
Cu  0.4154  0.9190  0.2503  7 Cu 2.48-2.57
Cu  0.5846  0.5846  0.7497  7 Cu 2.48-2.57
Cu  0.5846  0.0810  0.7497  7 Cu 2.48-2.57
Cu  0.0810  0.5846  0.7497  7 Cu 2.48-2.57
Hg  0.8602  0.8602  0.4195  12 Cu 2.89-3.02, 3 Hg 3.21
Hg  0.1398  0.1398  0.5805  12 Cu 2.89-3.02, 3 Hg 3.21

Values from the calculation:
E_form ... -0.069 eV/atom
Uncorrected energy ... -3.575 eV per atom
Calculated volume ... 180 Å³ per cell
Space-group type ... No. 166


DFT (GGA-PBE) results for a relaxed Dy4Cu2HgIr crystal.

abc: 4.9901 4.9901 8.6327
angles: 73.20 73.20 60.00
With the nearest neighbours (Å) after each atom.
Positions (direct):
Dy  0.3824  0.3824  0.8528  1 Ir 2.87, 4 Cu 2.96-3.10, 3 Hg 3.12
Dy  0.8691  0.8691  0.3927  3 Ir 3.01, 4 Cu 3.04-3.16, 1 Hg 3.20, 3 Dy 3.37
Dy  0.1309  0.1309  0.6073  3 Ir 3.01, 4 Cu 3.04-3.16, 1 Hg 3.20, 3 Dy 3.37
Dy  0.6176  0.6176  0.1472  1 Ir 2.87, 4 Cu 2.96-3.10, 3 Hg 3.12
Cu  0.7444  0.7444  0.7667  8 Dy 2.96-3.16
Cu  0.2556  0.2556  0.2333  8 Dy 2.96-3.16
Hg  0.0000  0.0000  0.0000  8 Dy 3.12-3.20, 6 Cu 3.45
Ir  0.5000  0.5000  0.5000  8 Dy 2.87-3.01

Values from the calculation:
E_form ... -0.489 eV/atom
Uncorrected energy ... -4.960 eV per atom
Calculated volume ... 175 Å³ per cell
Space-group type ... No. 166


DFT (GGA-PBE) results for a relaxed LaDyCuHg crystal.

abc: 5.2545 5.2545 5.2545
angles: 60.00 60.00 60.00
With the nearest neighbours (Å) after each atom.
Positions (direct):
La  0.5000  0.5000  0.5000  4 Cu 3.22, 4 Hg 3.22
Hg  0.7500  0.7500  0.7500  4 La 3.22, 4 Dy 3.22
Cu  0.2500  0.2500  0.2500  4 Dy 3.22, 4 La 3.22
Dy  0.0000  0.0000  0.0000  4 Hg 3.22, 4 Cu 3.22

Values from the calculation:
E_form ... -0.294 eV/atom
Uncorrected energy ... -3.776 eV per atom
Calculated volume ... 103 Å³ per cell
Space-group type ... No. 216


DFT (GGA-PBE) results for a relaxed DyMgCuHg crystal.

abc: 4.9010 4.9010 4.9010
angles: 60.00 60.00 60.00
With the nearest neighbours (Å) after each atom.
Positions (direct):
Mg  0.5000  0.5000  0.5000  4 Hg 3.00, 4 Cu 3.00
Hg  0.7500  0.7500  0.7500  4 Dy 3.00, 4 Mg 3.00
Cu  0.2500  0.2500  0.2500  4 Dy 3.00, 4 Mg 3.00
Dy  0.0000  0.0000  0.0000  4 Hg 3.00, 4 Cu 3.00

Values from the calculation:
E_form ... -0.317 eV/atom
Uncorrected energy ... -2.966 eV per atom
Calculated volume ... 83 Å³ per cell
Space-group type ... No. 216